No. 1
An optimized crystal structure of PtWSe, computed with PBE.

```
PtWSe
1.0
-1.675 3.817 -4.979
-3.153 1.299 -5.527
-2.516 1.273 0.936
Se Pt W
1 1 1
Cartesian
-3.209 2.425 -2.493
-2.582 1.382 0.609
-4.069 3.854 -6.750
```

Space-group type: I4mm
Offset from the most stable computed form: 89 meV per atom
Density of states at the Fermi level: 1.976 states/eV/f.u.
Formation energy from raw total energies: 0.030 eV per atom
Magnetic moment: 0.00 μB/f.u.

No. 2
An optimized crystal structure of PtWSe2, computed with PBE.

```
PtWSe2
1.0
-2.380 -7.382 2.938
0.998 -7.653 3.038
-0.655 -6.114 5.566
Se W Pt
2 1 1
Cartesian
-1.835 -19.040 10.391
-0.203 -2.109 1.151
0.000 0.000 0.000
-1.019 -10.575 5.771
```

Space-group type: R-3m
Offset from the most stable computed form: 667 meV per atom
Density of states at the Fermi level: 3.616 states/eV/f.u.
Formation energy from raw total energies: 0.603 eV per atom
Magnetic moment: 0.52 μB/f.u.